# TlZnCu

Crystalline TlZnCu at its relaxed geometry (PBE, the Alexandria database).

Computed properties:
ΔH_f (0 K): 240 meV per atom
Polymorph energy (0 for the lowest one): 37 meV per atom
Mass density: 9.5 g cm⁻³

a = 4.3275 Å, b = 4.3275 Å, c = 3.6047 Å
α = 90.00°, β = 90.00°, γ = 120.00°
Space group P-6m2 (No. 187)
One atom of each set of equivalent atoms:
Tl: 0.0000 0.0000 0.0000
Zn: 0.6667 0.3333 0.5000
Cu: 0.3333 0.6667 0.5000